TbPm3Pr4Se8 | Alexandria | PBE | relaxed; SG = No. 166; crystal system = trigonal; energy relative to the elements, uncorrected = -1827 meV per atom; M_tot = 0.00 μB/f.u.
1.0
-3.596 2.631 -7.138
7.051 -1.938 -4.266
-3.783 -5.861 4.705
Se Pm Pr Tb
8 3 4 1
Cartesian
-2.819 -1.511 -4.096
2.492 -3.657 -2.603
0.679 -2.380 -6.179
-0.901 1.460 -6.482
0.574 -6.629 -0.217
-1.006 -2.789 -0.521
-1.250 -5.295 -3.837
0.922 0.126 -2.863
1.634 -3.900 0.219
1.728 0.346 -5.702
-0.164 -2.584 -3.350
-1.798 1.315 -3.569
-1.891 -2.931 2.352
0.000 0.000 0.000
-3.689 -1.615 -1.217
3.526 -0.969 -2.133